1.
First-principles (PBE-GGA) data for a geometry-optimized La4CeY3 structure, as listed in the Alexandria database.

a b c (Å): 3.452 6.978 12.169
angles (deg): 106.44 98.16 90.00
Site moments in Bohr magnetons follow the coordinates.
Sites, in units of the cell vectors:
Y 0.000 0.500 0.000  0.03
Y 0.122 0.880 0.243  0.01
Y 0.878 0.120 0.757  0.01
Ce 0.500 0.000 0.000  0.71
La 0.743 0.235 0.485  -0.01
La 0.257 0.765 0.515  -0.01
La 0.120 0.358 0.241  0.00
La 0.880 0.642 0.759  0.00

D(E_F): 16.89 states/eV/cell
E_tot: -5.447 eV per atom
E_form: 1.461 eV per formula unit


2.
First-principles (PBE-GGA) data for a geometry-optimized ScFe structure, as listed in the Alexandria database.

a b c (Å): 3.717 3.717 3.717
angles (deg): 60.00 60.00 60.00
Site moments in Bohr magnetons follow the coordinates.
Sites, in units of the cell vectors:
Fe 0.000 0.000 0.000  1.92
Sc 0.500 0.500 0.500  -0.38

D(E_F): 2.34 states/eV/cell
E_tot: -6.896 eV per atom
E_form: 1.002 eV per formula unit


3.
First-principles (PBE-GGA) data for a geometry-optimized Pm2PuIn3Hg6 structure, as listed in the Alexandria database.

a b c (Å): 4.238 4.238 20.857
angles (deg): 90.00 90.00 90.00
Site moments in Bohr magnetons follow the coordinates.
Sites, in units of the cell vectors:
Pm 0.500 0.500 0.210  -0.04
Pm 0.500 0.500 0.790  -0.04
Pu 0.500 0.500 0.500  5.52
In 0.000 0.000 0.276  -0.01
In 0.000 0.000 0.724  -0.01
In 0.000 0.000 0.000  0.00
Hg 0.000 0.500 0.617  0.00
Hg 0.500 0.000 0.383  0.00
Hg 0.500 0.000 0.617  0.00
Hg 0.000 0.000 0.134  0.00
Hg 0.000 0.500 0.383  0.00
Hg 0.000 0.000 0.866  0.00

D(E_F): 20.11 states/eV/cell
E_tot: -2.819 eV per atom
E_form: 0.026 eV per formula unit


4.
First-principles (PBE-GGA) data for a geometry-optimized AcPm3Dy6Tm2 structure, as listed in the Alexandria database.

a b c (Å): 6.226 6.226 11.919
angles (deg): 94.98 94.98 119.98
Sites, in units of the cell vectors:
Ac 0.000 0.000 0.000
Pm 0.167 0.833 0.500
Pm 0.833 0.167 0.500
Pm 0.500 0.500 0.500
Dy 0.916 0.580 0.749
Dy 0.747 0.747 0.251
Dy 0.084 0.420 0.251
Dy 0.580 0.916 0.749
Dy 0.253 0.253 0.749
Dy 0.420 0.084 0.251
Tm 0.333 0.667 0.000
Tm 0.667 0.333 0.000

D(E_F): 15.14 states/eV/cell
E_tot: -4.547 eV per atom
E_form: 0.349 eV per formula unit


5.
First-principles (PBE-GGA) data for a geometry-optimized Np3GeSe6 structure, as listed in the Alexandria database.

a b c (Å): 7.108 8.856 8.856
angles (deg): 102.29 90.00 90.00
Site moments in Bohr magnetons follow the coordinates.
Sites, in units of the cell vectors:
Np 0.478 0.920 0.718  3.79
Np 0.978 0.718 0.920  3.79
Np 0.387 0.396 0.604  -3.69
Np 0.887 0.604 0.396  -3.69
Np 0.978 0.080 0.282  3.79
Np 0.478 0.282 0.080  3.79
Ge 0.019 0.177 0.823  0.01
Ge 0.519 0.823 0.177  0.01
Se 0.181 0.694 0.634  -0.02
Se 0.681 0.634 0.694  -0.02
Se 0.199 0.435 0.906  -0.02
Se 0.699 0.906 0.435  -0.02
Se 0.234 0.012 0.988  -0.09
Se 0.628 0.229 0.771  -0.04
Se 0.128 0.771 0.229  -0.04
Se 0.734 0.988 0.012  -0.09
Se 0.199 0.094 0.565  -0.02
Se 0.699 0.565 0.094  -0.02
Se 0.181 0.366 0.306  -0.02
Se 0.681 0.306 0.366  -0.02

D(E_F): 53.72 states/eV/cell
E_tot: -7.338 eV per atom
Formation energy without anion corrections: -0.90 eV/atom


6.
First-principles (PBE-GGA) data for a geometry-optimized LiNd4Tl2 structure, as listed in the Alexandria database.

a b c (Å): 7.289 6.726 9.803
angles (deg): 90.00 117.04 90.00
Sites, in units of the cell vectors:
Li 0.225 0.750 0.260
Li 0.775 0.250 0.740
Nd 0.543 0.492 0.217
Nd 0.035 0.750 0.859
Nd 0.965 0.250 0.141
Nd 0.543 0.008 0.217
Nd 0.980 0.250 0.536
Nd 0.457 0.992 0.783
Nd 0.457 0.508 0.783
Nd 0.020 0.750 0.464
Tl 0.811 0.750 0.081
Tl 0.189 0.250 0.919
Tl 0.396 0.250 0.462
Tl 0.604 0.750 0.538

D(E_F): 15.74 states/eV/cell
E_tot: -3.791 eV per atom
ΔE to the lowest computed polymorph: 0.047 eV/atom
E_form: -0.819 eV per formula unit


7.
First-principles (PBE-GGA) data for a geometry-optimized La2PmZrN4 structure, as listed in the Alexandria database.

a b c (Å): 3.545 6.163 6.248
angles (deg): 108.96 90.00 90.00
Sites, in units of the cell vectors:
La 0.500 0.000 0.500
La 0.000 0.500 0.500
Pm 0.500 0.500 0.000
Zr 0.000 0.000 0.000
N 0.500 0.226 0.222
N 0.500 0.774 0.778
N 0.000 0.236 0.774
N 0.000 0.764 0.226

D(E_F): 1.46 states/eV/cell
E_tot: -8.489 eV per atom
Formation energy without anion corrections: -1.43 eV/atom


8.
First-principles (PBE-GGA) data for a geometry-optimized Ce2PrY3Tm6 structure, as listed in the Alexandria database.

a b c (Å): 6.122 6.122 11.672
angles (deg): 95.02 95.02 119.99
Site moments in Bohr magnetons follow the coordinates.
Sites, in units of the cell vectors:
Ce 0.333 0.667 0.000  0.72
Ce 0.667 0.333 0.000  0.72
Pr 0.000 0.000 0.000  0.00
Y 0.166 0.834 0.500  -0.02
Y 0.834 0.166 0.500  -0.02
Y 0.500 0.500 0.500  -0.02
Tm 0.916 0.580 0.751  0.01
Tm 0.747 0.747 0.249  0.01
Tm 0.084 0.420 0.249  0.01
Tm 0.580 0.916 0.751  0.01
Tm 0.253 0.253 0.751  0.01
Tm 0.420 0.084 0.249  0.01

D(E_F): 22.76 states/eV/cell
E_tot: -5.184 eV per atom
E_form: 0.663 eV per formula unit


9.
First-principles (PBE-GGA) data for a geometry-optimized ErNbCuRu structure, as listed in the Alexandria database.

a b c (Å): 4.632 4.632 4.632
angles (deg): 60.00 60.00 60.00
Sites, in units of the cell vectors:
Ru 0.750 0.750 0.750
Nb 0.500 0.500 0.500
Cu 0.250 0.250 0.250
Er 0.000 0.000 0.000

D(E_F): 4.44 states/eV/cell
E_tot: -7.108 eV per atom
E_form: -0.426 eV per formula unit


10.
First-principles (PBE-GGA) data for a geometry-optimized SmBC structure, as listed in the Alexandria database.

a b c (Å): 3.865 3.865 4.302
angles (deg): 116.69 116.69 90.00
Sites, in units of the cell vectors:
C 0.341 0.341 0.682
B 0.551 0.551 0.103
Sm 0.957 0.957 0.915

D(E_F): 1.53 states/eV/cell
E_tot: -6.753 eV per atom
ΔE to the lowest computed polymorph: 0.525 eV/atom
E_form: 0.361 eV per formula unit


11.
First-principles (PBE-GGA) data for a geometry-optimized RbInSi structure, as listed in the Alexandria database.

a b c (Å): 12.125 7.425 7.425
angles (deg): 147.41 142.04 37.96
Sites, in units of the cell vectors:
Si 0.915 0.319 0.681
Si 0.085 0.681 0.319
Rb 0.500 0.000 0.000
Rb 0.000 0.000 0.000
In 0.630 0.639 0.361
In 0.370 0.361 0.639

D(E_F): 3.18 states/eV/cell
E_tot: -2.989 eV per atom
Formation energy without anion corrections: 0.05 eV/atom


12.
First-principles (PBE-GGA) data for a geometry-optimized Tm3AgSn2 structure, as listed in the Alexandria database.

a b c (Å): 6.226 6.335 8.481
angles (deg): 102.62 111.53 90.00
Sites, in units of the cell vectors:
Tm 0.653 0.250 0.000
Tm 0.347 0.750 0.000
Tm 0.274 0.098 0.341
Tm 0.933 0.402 0.659
Tm 0.067 0.598 0.341
Tm 0.726 0.902 0.659
Ag 0.871 0.750 0.000
Ag 0.129 0.250 0.000
Sn 0.556 0.546 0.315
Sn 0.759 0.046 0.315
Sn 0.241 0.954 0.685
Sn 0.444 0.454 0.685

D(E_F): 7.57 states/eV/cell
E_tot: -4.506 eV per atom
E_form: -2.762 eV per formula unit